(1)
KBi5S8 after structural relaxation, computed with PBE-GGA.

Values from the calculation:
calculated volume: 429 Å³/cell
calculated density: 5.19 g/cm3
total energy: -4.2875 eV/atom
formation energy (no corrections): -44.82 kJ/mol of atoms

Geometry as CIF:
```
data_KBi5S8
_chemical_formula_sum 'K1 Bi5 S8'
_cell_length_a 4.065
_cell_length_b 10.362
_cell_length_c 10.812
_cell_angle_alpha 106.11
_cell_angle_beta 100.84
_cell_angle_gamma 90.00
_symmetry_space_group_name_H-M 'P 1'
_symmetry_Int_Tables_number 1
_symmetry_space_group_name_Hall 'P 1'
loop_
_atom_site_label
_atom_site_type_symbol
_atom_site_fract_x
_atom_site_fract_y
_atom_site_fract_z
S1 S 0.575 0.148 0.151
S2 S 0.767 0.866 0.533
S3 S 0.081 0.818 0.162
S4 S 0.413 0.859 0.827
S5 S 0.233 0.164 0.466
S6 S 0.825 0.530 0.651
S7 S 0.926 0.193 0.852
S8 S 0.161 0.481 0.322
Bi1 Bi 0.287 0.668 0.574
Bi2 Bi 0.345 0.052 0.690
Bi3 Bi 0.998 0.997 0.996
Bi4 Bi 0.705 0.340 0.409
Bi5 Bi 0.655 0.963 0.310
K1 K 0.528 0.423 0.056
```

---

(2)
KBi2S after structural relaxation, computed with PBE-GGA.

Values from the calculation:
calculated volume: 273 Å³/cell
calculated density: 5.96 g/cm3
total energy: -3.3662 eV/atom
formation energy (no corrections): -11.53 kJ/mol of atoms

Geometry as CIF:
```
data_KBi2S
_chemical_formula_sum 'K2 Bi4 S2'
_cell_length_a 9.563
_cell_length_b 9.563
_cell_length_c 7.390
_cell_angle_alpha 49.68
_cell_angle_beta 49.68
_cell_angle_gamma 90.00
_symmetry_space_group_name_H-M 'P 1'
_symmetry_Int_Tables_number 1
_symmetry_space_group_name_Hall 'P 1'
loop_
_atom_site_label
_atom_site_type_symbol
_atom_site_fract_x
_atom_site_fract_y
_atom_site_fract_z
S1 S 0.250 0.750 0.500
S2 S 0.500 0.500 0.000
Bi1 Bi 0.875 0.791 0.750
Bi2 Bi 0.541 0.125 0.250
Bi3 Bi 0.375 0.459 0.750
Bi4 Bi 0.209 0.625 0.250
K1 K 0.000 0.000 0.000
K2 K 0.750 0.250 0.500
```

---

(3)
KBiS2 after structural relaxation, computed with PBE-GGA.

Values from the calculation:
calculated volume: 152 Å³/cell
calculated density: 3.41 g/cm3
total energy: -3.9205 eV/atom
formation energy (no corrections): -59.07 kJ/mol of atoms

Geometry as CIF:
```
data_KBiS2
_chemical_formula_sum 'K1 Bi1 S2'
_cell_length_a 7.988
_cell_length_b 7.988
_cell_length_c 7.988
_cell_angle_alpha 35.27
_cell_angle_beta 35.27
_cell_angle_gamma 35.27
_symmetry_space_group_name_H-M 'P 1'
_symmetry_Int_Tables_number 1
_symmetry_space_group_name_Hall 'P 1'
loop_
_atom_site_label
_atom_site_type_symbol
_atom_site_fract_x
_atom_site_fract_y
_atom_site_fract_z
K1 K 0.997 0.997 0.997
S1 S 0.143 0.143 0.143
S2 S 0.610 0.610 0.610
Bi1 Bi 0.501 0.501 0.501
```

---

(4)
KBiS2 after structural relaxation, computed with PBE-GGA.

Values from the calculation:
calculated volume: 187 Å³/cell
calculated density: 5.54 g/cm3
total energy: -3.6776 eV/atom
formation energy (no corrections): -35.63 kJ/mol of atoms

Geometry as CIF:
```
data_KBiS2
_chemical_formula_sum 'K2 Bi2 S4'
_cell_length_a 7.178
_cell_length_b 7.178
_cell_length_c 6.243
_cell_angle_alpha 54.91
_cell_angle_beta 54.91
_cell_angle_gamma 90.00
_symmetry_space_group_name_H-M 'P 1'
_symmetry_Int_Tables_number 1
_symmetry_space_group_name_Hall 'P 1'
loop_
_atom_site_label
_atom_site_type_symbol
_atom_site_fract_x
_atom_site_fract_y
_atom_site_fract_z
K1 K 0.750 0.250 0.500
K2 K 0.250 0.750 0.500
S1 S 0.250 0.250 0.000
S2 S 0.750 0.750 0.000
S3 S 0.750 0.250 0.000
S4 S 0.250 0.750 0.000
Bi1 Bi 0.750 0.750 0.500
Bi2 Bi 0.250 0.250 0.500
```

---

(5)
KBiS2 after structural relaxation, computed with PBE-GGA.

Values from the calculation:
calculated volume: 230 Å³/cell
calculated density: 4.51 g/cm3
total energy: -3.9336 eV/atom
formation energy (no corrections): -60.33 kJ/mol of atoms

Geometry as CIF:
```
data_KBiS2
_chemical_formula_sum 'K2 Bi2 S4'
_cell_length_a 7.939
_cell_length_b 7.939
_cell_length_c 6.696
_cell_angle_alpha 53.64
_cell_angle_beta 53.64
_cell_angle_gamma 90.00
_symmetry_space_group_name_H-M 'P 1'
_symmetry_Int_Tables_number 1
_symmetry_space_group_name_Hall 'P 1'
loop_
_atom_site_label
_atom_site_type_symbol
_atom_site_fract_x
_atom_site_fract_y
_atom_site_fract_z
K1 K 0.250 0.250 0.500
K2 K 0.750 0.750 0.500
Bi1 Bi 0.250 0.750 0.500
Bi2 Bi 0.750 0.250 0.500
S1 S 0.683 0.817 0.000
S2 S 0.317 0.183 0.000
S3 S 0.817 0.317 0.000
S4 S 0.183 0.683 0.000
```

---

(6)
KBiS2 after structural relaxation, computed with PBE-GGA.

Values from the calculation:
calculated volume: 112 Å³/cell
calculated density: 4.62 g/cm3
total energy: -4.0908 eV/atom
formation energy (no corrections): -75.49 kJ/mol of atoms

Geometry as CIF:
```
data_KBiS2
_chemical_formula_sum 'K1 Bi1 S2'
_cell_length_a 4.128
_cell_length_b 4.128
_cell_length_c 7.962
_cell_angle_alpha 105.03
_cell_angle_beta 90.01
_cell_angle_gamma 59.99
_symmetry_space_group_name_H-M 'P 1'
_symmetry_Int_Tables_number 1
_symmetry_space_group_name_Hall 'P 1'
loop_
_atom_site_label
_atom_site_type_symbol
_atom_site_fract_x
_atom_site_fract_y
_atom_site_fract_z
Bi1 Bi 0.841 0.040 0.264
K1 K 0.010 0.702 0.757
S1 S 0.438 0.847 0.474
S2 S 0.244 0.233 0.054
```

---

(7)
KBi2S4 after structural relaxation, computed with PBE-GGA.

Values from the calculation:
calculated volume: 401 Å³/cell
calculated density: 4.85 g/cm3
distance to the lowest polymorph of the same formula: 40.7 meV per atom
total energy: -4.0346 eV/atom
formation energy (no corrections): -39.60 kJ/mol of atoms

Geometry as CIF:
```
data_KBi2S4
_chemical_formula_sum 'K2 Bi4 S8'
_cell_length_a 8.053
_cell_length_b 8.053
_cell_length_c 8.053
_cell_angle_alpha 111.24
_cell_angle_beta 105.98
_cell_angle_gamma 111.24
_symmetry_space_group_name_H-M 'P 1'
_symmetry_Int_Tables_number 1
_symmetry_space_group_name_Hall 'P 1'
loop_
_atom_site_label
_atom_site_type_symbol
_atom_site_fract_x
_atom_site_fract_y
_atom_site_fract_z
S1 S 0.525 0.136 0.296
S2 S 0.225 0.270 0.861
S3 S 0.611 0.770 0.475
S4 S 0.704 0.230 0.840
S5 S 0.046 0.636 0.775
S6 S 0.590 0.730 0.954
S7 S 0.160 0.864 0.389
S8 S 0.139 0.364 0.410
K1 K 0.750 0.500 0.250
K2 K 0.000 0.000 0.000
Bi1 Bi 0.345 0.720 0.125
Bi2 Bi 0.405 0.280 0.625
Bi3 Bi 0.375 0.780 0.655
Bi4 Bi 0.875 0.220 0.595
```

---

(8)
KBi3S after structural relaxation, computed with PBE-GGA.

Values from the calculation:
calculated volume: 215 Å³/cell
calculated density: 5.39 g/cm3
distance to the lowest polymorph of the same formula: 1316.6 meV per atom
total energy: -1.9495 eV/atom
formation energy (no corrections): 137.40 kJ/mol of atoms

Geometry as CIF:
```
data_KBi3S
_chemical_formula_sum 'K1 Bi3 S1'
_cell_length_a 5.993
_cell_length_b 5.993
_cell_length_c 5.993
_cell_angle_alpha 90.00
_cell_angle_beta 90.00
_cell_angle_gamma 90.00
_symmetry_space_group_name_H-M 'P 1'
_symmetry_Int_Tables_number 1
_symmetry_space_group_name_Hall 'P 1'
loop_
_atom_site_label
_atom_site_type_symbol
_atom_site_fract_x
_atom_site_fract_y
_atom_site_fract_z
K1 K 0.000 0.000 0.000
Bi1 Bi 0.500 0.000 0.000
Bi2 Bi 0.000 0.500 0.000
Bi3 Bi 0.000 0.000 0.500
S1 S 0.500 0.500 0.500
```

---

(9)
KBi2S3 after structural relaxation, computed with PBE-GGA.

Values from the calculation:
calculated volume: 354 Å³/cell
calculated density: 5.19 g/cm3
total energy: -3.9719 eV/atom
formation energy (no corrections): -41.65 kJ/mol of atoms

Geometry as CIF:
```
data_KBi2S3
_chemical_formula_sum 'K2 Bi4 S6'
_cell_length_a 7.495
_cell_length_b 7.377
_cell_length_c 7.377
_cell_angle_alpha 60.14
_cell_angle_beta 90.00
_cell_angle_gamma 90.00
_symmetry_space_group_name_H-M 'P 1'
_symmetry_Int_Tables_number 1
_symmetry_space_group_name_Hall 'P 1'
loop_
_atom_site_label
_atom_site_type_symbol
_atom_site_fract_x
_atom_site_fract_y
_atom_site_fract_z
Bi1 Bi 0.000 0.167 0.167
Bi2 Bi 0.000 0.833 0.833
Bi3 Bi 0.500 0.167 0.167
Bi4 Bi 0.500 0.833 0.833
S1 S 0.750 0.924 0.076
S2 S 0.750 0.077 0.500
S3 S 0.750 0.500 0.923
S4 S 0.250 0.076 0.924
S5 S 0.250 0.500 0.077
S6 S 0.250 0.923 0.500
K1 K 0.750 0.501 0.499
K2 K 0.250 0.499 0.501
```

---

(10)
K3Bi3SbS8 after structural relaxation, computed with PBE-GGA.

Values from the calculation:
calculated volume: 437 Å³/cell
calculated density: 4.26 g/cm3
total energy: -4.1347 eV/atom
formation energy (no corrections): -63.96 kJ/mol of atoms

Geometry as CIF:
```
data_K3Bi3SbS8
_chemical_formula_sum 'K3 Bi3 Sb1 S8'
_cell_length_a 8.143
_cell_length_b 8.142
_cell_length_c 8.948
_cell_angle_alpha 117.07
_cell_angle_beta 90.00
_cell_angle_gamma 120.00
_symmetry_space_group_name_H-M 'P 1'
_symmetry_Int_Tables_number 1
_symmetry_space_group_name_Hall 'P 1'
loop_
_atom_site_label
_atom_site_type_symbol
_atom_site_fract_x
_atom_site_fract_y
_atom_site_fract_z
S1 S 0.263 0.526 0.289
S2 S 0.776 0.553 0.300
S3 S 0.224 0.976 0.700
S4 S 0.248 0.024 0.300
S5 S 0.752 0.976 0.700
S6 S 0.737 0.474 0.711
S7 S 0.224 0.447 0.700
S8 S 0.776 0.024 0.300
K1 K 0.500 0.500 0.000
K2 K 0.000 0.500 0.000
K3 K 0.000 0.000 0.000
Bi1 Bi 0.000 0.500 0.500
Bi2 Bi 0.500 0.000 0.500
Bi3 Bi 0.500 0.500 0.500
Sb1 Sb 0.000 0.000 0.500
```

---

- Which formula does entry 3 have?
  KBiS2

---

- The lowest formation energy (no corrections) belongs to which entry?
  number 6

---

- Which value of total energy does entry 10 give?
  -4.1347 eV/atom